Record 1
Material: La8P3RhBr4
Method: DFT, GGA-PBE
State: relaxed

The calculation puts the total magnetization at 0.000 μB/f.u. The formation energy (no corrections) comes out at -1457 meV per atom. The final energy is -5.812 eV per atom. The density of states at the Fermi level comes out at 0.58 states/eV per atom.

The space group is R-3m (No. 166, hexagonal axes) and the conventional cell measures 8.5293, 8.5293 and 22.0713 Å, with angles of 90.00, 90.00 and 120.00 degrees. The distinct sites, in fractional coordinates, are La at (0.0000, 0.0000, 0.2370), La at (0.0021, 0.5011, 0.2365), P at (0.0000, 0.5000, 0.5000), Rh at (0.0000, 0.0000, 0.5000), Br at (0.0000, 0.0000, 0.0000) and Br at (0.0000, 0.5000, 0.0000).

---

Record 2
Material: La8PRu3Br3
Method: DFT, GGA-PBE
State: relaxed

The calculation puts the total magnetization at 0.000 μB/f.u. The formation energy (no corrections) comes out at -904 meV per atom. The final energy is -6.082 eV per atom. The density of states at the Fermi level comes out at 0.82 states/eV per atom.

The space group is R-3m (No. 166, hexagonal axes) and the conventional cell measures 8.4751, 8.4751 and 22.7277 Å, with angles of 90.00, 90.00 and 120.00 degrees. The distinct sites, in fractional coordinates, are La at (0.0000, 0.0000, 0.2364), La at (0.0119, 0.5060, 0.7672), P at (0.0000, 0.0000, 0.5000), Ru at (0.0000, 0.5000, 0.5000) and Br at (0.0000, 0.5000, 0.0000).

---

Record 3
Material: La4PRuBr2
Method: DFT, GGA-PBE
State: relaxed

The calculation puts the total magnetization at 0.000 μB/f.u. The formation energy (no corrections) comes out at -1231 meV per atom. The final energy is -5.949 eV per atom. The density of states at the Fermi level comes out at 0.72 states/eV per atom.

The space group is P2/m (No. 10) and the conventional cell measures 7.515, 4.172 and 7.936 Å, with angles of 90.00, 105.82 and 90.00 degrees. The distinct sites, in fractional coordinates, are La at (0.226, 0.000, 0.202), La at (0.253, 0.500, 0.804), P at (0.500, 0.000, 0.000), Ru at (0.000, 0.500, 0.000), Br at (0.000, 0.000, 0.500) and Br at (0.500, 0.500, 0.500).

---

Record 4
Material: La8P3RuBr4
Method: DFT, GGA-PBE
State: relaxed

The calculation puts the total magnetization at 0.005 μB/f.u. The formation energy (no corrections) comes out at -1410 meV per atom. The final energy is -5.886 eV per atom. The density of states at the Fermi level comes out at 0.64 states/eV per atom.

The space group is R-3m (No. 166, hexagonal axes) and the conventional cell measures 8.5247, 8.5247 and 22.2247 Å, with angles of 90.00, 90.00 and 120.00 degrees. The distinct sites, in fractional coordinates, are La at (0.0000, 0.0000, 0.2366), La at (0.0069, 0.5034, 0.2351), P at (0.0000, 0.5000, 0.5000), Ru at (0.0000, 0.0000, 0.5000), Br at (0.0000, 0.0000, 0.0000) and Br at (0.0000, 0.5000, 0.0000).

---

The calculation returns the following volume values, one per record and in order: 29.0, 31.4, 29.9, 29.1 Å³/atom.